Entry 1:
{
  "formula": "NiAsRh",
  "functional": "PBEsol",
  "state": "relaxed",
  "sg": "P3m1",
  "density_g_cm3": 9.94,
  "final_energy_ev_per_cell": -20.09,
  "formation_energy_ev_per_atom": -0.2277,
  "lattice_angstrom": [[-1.1261, 0.5555, -2.6906], [0.5408, -3.7506, -1.0006], [-3.3758, 1.1223, 1.6446]],
  "species": ["As", "Ni", "Rh"],
  "frac_coords": [[0.9585, 0.0000, 0.0000], [0.7666, 0.6667, 0.3333], [0.2749, 0.3333, 0.6667]]
}


Entry 2:
{
  "formula": "In6Ag7",
  "functional": "PBEsol",
  "state": "relaxed",
  "sg": "R-3m",
  "density_g_cm3": 9.23,
  "final_energy_ev_per_cell": -41.40,
  "formation_energy_ev_per_atom": -0.0247,
  "lattice_angstrom": [[5.6053, 0.0000, 0.0000], [2.8026, 4.8543, 0.0000], [2.8026, 1.6181, 9.5507]],
  "species": ["Ag", "Ag", "Ag", "Ag", "Ag", "Ag", "Ag", "In", "In", "In", "In", "In", "In"],
  "frac_coords": [[0.5865, 0.5865, 0.7407], [0.5865, 0.0863, 0.7407], [0.0863, 0.5865, 0.7407], [0.4135, 0.4135, 0.2593], [0.9137, 0.4135, 0.2593], [0.4135, 0.9137, 0.2593], [0.5000, 0.5000, 0.5000], [0.0509, 0.0509, 0.8473], [0.9491, 0.9491, 0.1527], [0.1573, 0.1573, 0.5280], [0.8427, 0.8427, 0.4720], [0.3325, 0.3325, 0.0025], [0.6675, 0.6675, 0.9975]]
}


Entry 3:
{
  "formula": "TeOs2Br",
  "functional": "PBEsol",
  "state": "relaxed",
  "sg": "Cmmm",
  "density_g_cm3": 13.95,
  "e_above_lowest_polymorph_mev_per_atom": 415.7,
  "final_energy_ev_per_cell": -24.36,
  "formation_energy_uncorrected_ev_per_fu": 5.47,
  "lattice_angstrom": [[-0.9015, 2.8063, -0.1962], [-1.2747, -2.0878, -1.7667], [-6.2189, -1.5556, 6.3253]],
  "species": ["Te", "Os", "Os", "Br"],
  "frac_coords": [[0.5000, 0.0000, 0.5000], [0.0000, 0.0000, 0.7516], [0.0000, 0.0000, 0.2484], [0.5000, 0.0000, 0.0000]]
}